(1)
Compound: Rb2NiICl6
Source: Alexandria via LeMat-Bulk
Functional: PBE
Structure: relaxed

Cell: 10.280 10.278 7.629 Å, 90.00 132.27 90.00°
Space group C2/m (No. 12)
Asymmetric unit:
Rb 0.000 0.250 0.000
Ni 0.000 0.000 0.500
I 0.000 0.500 0.500
Cl 0.000 0.230 0.500
Cl 0.198 0.000 0.896
Cl 0.230 0.000 0.500

Properties
ΔE_f (raw)	-976.1	meV/atom


(2)
Compound: RbNiICl6
Source: Alexandria via LeMat-Bulk
Functional: PBE
Structure: relaxed

Cell: 6.758 6.787 8.172 Å, 79.70 68.60 64.35°
Space group P1 (No. 1)
Asymmetric unit:
Rb 0.000 0.000 0.000
Ni 0.233 0.276 0.307
I 0.561 0.370 0.634
Cl 0.020 0.130 0.536
Cl 0.138 0.551 0.722
Cl 0.426 0.041 0.088
Cl 0.559 0.157 0.392
Cl 0.578 0.558 0.857
Cl 0.960 0.565 0.248

Properties
ΔE_f (raw)	-672.9	meV/atom


(3)
Compound: NiSb2ICl
Source: Alexandria via LeMat-Bulk
Functional: PBE
Structure: relaxed

Cell: 5.015 5.015 5.309 Å, 90.00 90.00 90.00°
Space group P4/mmm (No. 123)
Asymmetric unit:
Ni 0.000 0.000 0.000
Sb 0.000 0.500 0.000
I 0.000 0.000 0.500
Cl 0.500 0.500 0.500

Properties
ΔE_f (raw)	175.9	meV/atom
offset from the most stable computed form	0.0	kJ per mole of atoms


(4)
Compound: NiSb2ICl
Source: Alexandria via LeMat-Bulk
Functional: PBE
Structure: relaxed

Cell: 5.110 5.110 6.748 Å, 90.00 90.00 90.00°
Space group P4/mmm (No. 123)
Asymmetric unit:
Ni 0.000 0.000 0.000
Sb 0.000 0.500 0.500
I 0.500 0.500 0.000
Cl 0.500 0.500 0.500

Properties
ΔE_f (raw)	1176.9	meV/atom
offset from the most stable computed form	96.6	kJ per mole of atoms


(5)
Compound: NiSb2ICl
Source: Alexandria via LeMat-Bulk
Functional: PBE
Structure: relaxed

Cell: 5.851 5.851 4.070 Å, 90.00 90.00 90.00°
Space group P4/mmm (No. 123)
Asymmetric unit:
Ni 0.000 0.000 0.000
Sb 0.000 0.500 0.500
I 0.500 0.500 0.000
Cl 0.000 0.000 0.500

Properties
ΔE_f (raw)	691.1	meV/atom
offset from the most stable computed form	49.7	kJ per mole of atoms


(6)
Compound: SiNi2ICl
Source: Alexandria via LeMat-Bulk
Functional: PBE
Structure: relaxed

Cell: 4.653 4.653 4.585 Å, 90.00 90.00 90.00°
Space group P4/mmm (No. 123)
Asymmetric unit:
Si 0.000 0.000 0.000
Ni 0.000 0.500 0.000
I 0.500 0.500 0.500
Cl 0.000 0.000 0.500

Properties
ΔE_f (raw)	511.0	meV/atom


(7)
Compound: Ta2NiICl
Source: Alexandria via LeMat-Bulk
Functional: PBE
Structure: relaxed

Cell: 5.155 5.155 4.491 Å, 90.00 90.00 90.00°
Space group P4/mmm (No. 123)
Asymmetric unit:
Ta 0.000 0.500 0.000
Ni 0.000 0.000 0.500
I 0.000 0.000 0.000
Cl 0.500 0.500 0.500

Properties
ΔE_f (raw)	1932.8	meV/atom


(8)
Compound: TcNi2ICl
Source: Alexandria via LeMat-Bulk
Functional: PBE
Structure: relaxed

Cell: 4.295 4.295 4.812 Å, 90.00 90.00 90.00°
Space group P4/mmm (No. 123)
Asymmetric unit:
Tc 0.000 0.000 0.000
Ni 0.000 0.500 0.500
I 0.500 0.500 0.000
Cl 0.000 0.000 0.500

Properties
ΔE_f (raw)	993.3	meV/atom


(9)
Compound: NiTe2ICl
Source: Alexandria via LeMat-Bulk
Functional: PBE
Structure: relaxed

Cell: 5.464 5.464 5.514 Å, 90.00 90.00 90.00°
Space group P4/mmm (No. 123)
Asymmetric unit:
Ni 0.000 0.000 0.000
Te 0.000 0.500 0.500
I 0.500 0.500 0.000
Cl 0.500 0.500 0.500

Properties
ΔE_f (raw)	1183.4	meV/atom
offset from the most stable computed form	90.4	kJ per mole of atoms


(10)
Compound: NiTe2ICl
Source: Alexandria via LeMat-Bulk
Functional: PBE
Structure: relaxed

Cell: 5.075 5.075 5.235 Å, 90.00 90.00 90.00°
Space group P4/mmm (No. 123)
Asymmetric unit:
Ni 0.000 0.000 0.000
Te 0.000 0.500 0.000
I 0.000 0.000 0.500
Cl 0.500 0.500 0.500

Properties
ΔE_f (raw)	246.1	meV/atom
offset from the most stable computed form	0.0	kJ per mole of atoms


(11)
Compound: Tl2NiI2Cl2
Source: Alexandria via LeMat-Bulk
Functional: PBE
Structure: relaxed

Cell: 6.596 6.604 7.281 Å, 115.06 114.91 93.87°
Space group P-1 (No. 2)
Asymmetric unit:
Tl 0.250 0.249 0.499
Ni 0.000 0.500 0.000
I 0.264 0.235 0.000
Cl 0.190 0.691 0.382

Properties
ΔE_f (raw)	-591.8	meV/atom


(12)
Compound: TlNiICl6
Source: Alexandria via LeMat-Bulk
Functional: PBE
Structure: relaxed

Cell: 6.663 6.823 8.115 Å, 80.93 69.21 65.86°
Space group P1 (No. 1)
Asymmetric unit:
Tl 0.000 0.000 0.000
Ni 0.216 0.333 0.292
I 0.548 0.426 0.620
Cl 0.004 0.194 0.526
Cl 0.127 0.612 0.695
Cl 0.381 0.092 0.078
Cl 0.553 0.225 0.360
Cl 0.560 0.603 0.856
Cl 0.945 0.625 0.239

Properties
ΔE_f (raw)	-454.8	meV/atom


(13)
Compound: TlNiICl2
Source: Alexandria via LeMat-Bulk
Functional: PBE
Structure: relaxed

Cell: 4.845 4.845 5.439 Å, 90.00 90.00 90.00°
Space group P4/mmm (No. 123)
Asymmetric unit:
Tl 0.000 0.000 0.000
Ni 0.500 0.500 0.500
I 0.500 0.500 0.000
Cl 0.000 0.500 0.500

Properties
ΔE_f (raw)	-489.7	meV/atom


(14)
Compound: NiWICl2
Source: Alexandria via LeMat-Bulk
Functional: PBE
Structure: relaxed

Cell: 4.403 4.403 5.767 Å, 90.00 90.00 90.00°
Space group P4/mmm (No. 123)
Asymmetric unit:
Ni 0.000 0.000 0.000
W 0.000 0.000 0.500
I 0.500 0.500 0.500
Cl 0.000 0.500 0.000

Properties
ΔE_f (raw)	693.8	meV/atom


(15)
Compound: NpI3Cl
Source: Alexandria via LeMat-Bulk
Functional: PBE
Structure: relaxed

Cell: 4.464 11.924 9.425 Å, 90.00 103.66 90.00°
Space group P2_1/m (No. 11)
Asymmetric unit:
Np 0.120 0.250 0.243
I 0.038 0.750 0.075
I 0.381 0.572 0.759
Cl 0.256 0.250 0.514

Properties
ΔE_f (raw)	-947.0	meV/atom
offset from the most stable computed form	0.0	kJ per mole of atoms


(16)
Compound: Np2I8Cl
Source: Alexandria via LeMat-Bulk
Functional: PBE
Structure: relaxed

Cell: 6.077 11.530 19.130 Å, 90.00 90.00 90.00°
Space group Immm (No. 71)
Asymmetric unit:
Np 0.000 0.000 0.141
I 0.000 0.000 0.291
I 0.000 0.250 0.138
I 0.000 0.500 0.369
Cl 0.000 0.000 0.000

Properties
ΔE_f (raw)	-728.6	meV/atom


(17)
Compound: NpI3Cl
Source: Alexandria via LeMat-Bulk
Functional: PBE
Structure: relaxed

Cell: 8.2794 8.2794 23.0927 Å, 90.00 90.00 120.00°
Space group R-3 (No. 148, hexagonal axes)
Asymmetric unit:
Np 0.0000 0.0000 0.1948
I 0.0136 0.2913 0.1070
Cl 0.0000 0.0000 0.3039

Properties
ΔE_f (raw)	-919.3	meV/atom
offset from the most stable computed form	2.7	kJ per mole of atoms


(18)
Compound: NpI4Cl
Source: Alexandria via LeMat-Bulk
Functional: PBE
Structure: relaxed

Cell: 10.615 10.615 5.325 Å, 90.00 90.00 90.00°
Space group I4/m (No. 87)
Asymmetric unit:
Np 0.000 0.000 0.000
I 0.070 0.262 0.000
Cl 0.000 0.000 0.500

Properties
ΔE_f (raw)	-777.8	meV/atom


(19)
Compound: NpI2Cl6
Source: Alexandria via LeMat-Bulk
Functional: PBE
Structure: relaxed

Cell: 16.150 13.217 7.791 Å, 90.00 108.72 90.00°
Space group C2/c (No. 15)
Asymmetric unit:
Np 0.000 0.070 0.250
I 0.142 0.500 0.473
Cl 0.085 0.072 0.615
Cl 0.106 0.198 0.220
Cl 0.142 0.374 0.723

Properties
ΔE_f (raw)	-925.2	meV/atom


(20)
Compound: NpICl
Source: Alexandria via LeMat-Bulk
Functional: PBE
Structure: relaxed

Cell: 3.9976 3.9976 7.5930 Å, 90.00 90.00 120.00°
Space group P3m1 (No. 156)
Asymmetric unit:
Np 0.0000 0.0000 0.0000
I 0.6667 0.3333 0.7199
Cl 0.3333 0.6667 0.2125

Properties
ΔE_f (raw)	-1031.4	meV/atom
offset from the most stable computed form	0.8	kJ per mole of atoms